Record 1
{"formula": "PaCdRuAu", "functional": "GGA-PBE", "state": "optimized geometry", "dos_at_fermi_per_ev_cell": 4.8, "spacegroup": "No. 216", "e_form_ev_per_atom": -0.14, "lattice": [[-0.1226, 4.8455, 0.1855], [-3.4069, 2.2411, 2.6265], [1.2164, 2.3019, 4.0927]], "species": ["Au", "Pa", "Ru", "Cd"], "frac_coords": [[0.2500, 0.2500, 0.2500], [0.5000, 0.5000, 0.5000], [0.7500, 0.7500, 0.7500], [0.0000, 0.0000, 0.0000]]}

---

Record 2
{"formula": "PaTlCdAu", "functional": "GGA-PBE", "state": "optimized geometry", "dos_at_fermi_per_ev_cell": 5.0, "spacegroup": "No. 216", "e_form_ev_per_atom": -0.04, "lattice": [[-3.5400, 0.0383, -3.6755], [-4.5498, -2.1621, 0.8168], [-4.1590, 2.9158, 0.4933]], "species": ["Au", "Cd", "Tl", "Pa"], "frac_coords": [[0.7500, 0.7500, 0.7500], [0.5000, 0.5000, 0.5000], [0.2500, 0.2500, 0.2500], [0.0000, 0.0000, 0.0000]]}

---

Record 3
{"formula": "Cd3PbAu", "functional": "GGA-PBE", "state": "optimized geometry", "dos_at_fermi_per_ev_cell": 3.9, "spacegroup": "No. 11", "de_polymorph_mev_per_atom": 0, "e_form_ev_per_atom": -0.06, "lattice": [[-4.6584, 0.8722, 0.4121], [0.3402, -0.9645, 5.8867], [4.0256, 7.7342, 1.0346]], "species": ["Cd", "Cd", "Cd", "Cd", "Cd", "Cd", "Au", "Au", "Pb", "Pb"], "frac_coords": [[0.8047, 0.9928, 0.6093], [0.1953, 0.4928, 0.3907], [0.8047, 0.5072, 0.6093], [0.1953, 0.0072, 0.3907], [0.9581, 0.2500, 0.9192], [0.0419, 0.7500, 0.0808], [0.3508, 0.2500, 0.7019], [0.6492, 0.7500, 0.2981], [0.4215, 0.7500, 0.8403], [0.5785, 0.2500, 0.1597]]}

---

Record 4
{"formula": "Cd14PbAu", "functional": "GGA-PBE", "state": "optimized geometry", "dos_at_fermi_per_ev_cell": 6.6, "spacegroup": "No. 123", "e_form_ev_per_atom": 0.01, "lattice": [[6.4105, -0.0136, 0.0000], [0.0136, 6.4105, 0.0000], [0.0000, 0.0000, 8.8868]], "species": ["Cd", "Cd", "Cd", "Cd", "Cd", "Cd", "Cd", "Cd", "Cd", "Cd", "Cd", "Cd", "Cd", "Cd", "Pb", "Au"], "frac_coords": [[0.3750, 0.8750, 0.0000], [0.8750, 0.3750, 0.5000], [0.1345, 0.6155, 0.7522], [0.3750, 0.8750, 0.5000], [0.8750, 0.8750, 0.0000], [0.1345, 0.6155, 0.2478], [0.8750, 0.3750, 0.0000], [0.3750, 0.3750, 0.0000], [0.6154, 0.6154, 0.7521], [0.6155, 0.1345, 0.2478], [0.1346, 0.1346, 0.7521], [0.6155, 0.1345, 0.7522], [0.1346, 0.1346, 0.2479], [0.6154, 0.6154, 0.2479], [0.8750, 0.8750, 0.5000], [0.3750, 0.3750, 0.5000]]}

---

Record 5
{"formula": "Cd11PbAu", "functional": "GGA-PBE", "state": "optimized geometry", "dos_at_fermi_per_ev_cell": 4.2, "spacegroup": "No. 12", "e_form_ev_per_atom": 0.00, "lattice": [[-3.7538, -2.6180, -3.8057], [-4.9461, -4.5923, 3.6621], [-6.3847, 4.1158, -1.1884]], "species": ["Cd", "Cd", "Cd", "Cd", "Cd", "Cd", "Cd", "Cd", "Cd", "Cd", "Cd", "Pb", "Au"], "frac_coords": [[0.6457, 0.3539, 0.3479], [0.5059, 0.2171, 0.7863], [0.7078, 0.7829, 0.7863], [0.2922, 0.2171, 0.2137], [0.4941, 0.7829, 0.2137], [0.5000, 0.0000, 0.5000], [0.0000, 0.0000, 0.5000], [0.3543, 0.6461, 0.6521], [0.9936, 0.3539, 0.6521], [0.0064, 0.6461, 0.3479], [0.0000, 0.5000, 0.0000], [0.0000, 0.0000, 0.0000], [0.5000, 0.5000, 0.0000]]}

---

Record 6
{"formula": "Cd5PbAu4", "functional": "GGA-PBE", "state": "optimized geometry", "dos_at_fermi_per_ev_cell": 3.6, "spacegroup": "No. 12", "e_form_ev_per_atom": -0.12, "lattice": [[4.6387, 0.0000, -1.4724], [-0.0347, 6.7718, -0.1093], [-0.1930, 0.0390, 7.4350]], "species": ["Cd", "Cd", "Cd", "Cd", "Cd", "Au", "Au", "Au", "Au", "Pb"], "frac_coords": [[0.5000, 0.5000, 0.0000], [0.1697, 0.9962, 0.3395], [0.8303, 0.0038, 0.6605], [0.8231, 0.4829, 0.6462], [0.1769, 0.5171, 0.3538], [0.3278, 0.2514, 0.6557], [0.0083, 0.2717, 0.0166], [0.9917, 0.7283, 0.9834], [0.6722, 0.7486, 0.3443], [0.5000, 0.0000, 0.0000]]}